[1]
La4Th3ZrN8 | PBE-GGA | optimized geometry

a b c (Å): 7.2662 7.2662 18.0244
angles (deg): 90.00 90.00 120.00
Space group R-3m (No. 166, hexagonal axes)
Symmetry-distinct sites (fractional):
La (0.0000, 0.0000, 0.0000) (multiplicity 3)
La (0.0000, 0.5000, 0.0000) (multiplicity 9)
Th (0.0000, 0.5000, 0.5000) (multiplicity 9)
Zr (0.0000, 0.0000, 0.5000) (multiplicity 3)
N (0.0000, 0.0000, 0.2421) (multiplicity 6)
N (0.0173, 0.5086, 0.2394) (multiplicity 18)

## Properties
VASP energy   -8.810 eV/atom
ΔE_f (raw)   -1490 meV per atom

---

[2]
AlAg4As | PBE-GGA | optimized geometry

a b c (Å): 7.7518 7.7518 7.7518
angles (deg): 90.00 90.00 90.00
Space group F-43m (No. 216)
Symmetry-distinct sites (fractional):
Al (0.0000, 0.0000, 0.0000) (multiplicity 4)
Ag (0.1252, 0.1252, 0.6252) (multiplicity 16)
As (0.2500, 0.2500, 0.2500) (multiplicity 4)

## Properties
VASP energy   -3.053 eV/atom
Formation enthalpy at 0 K   23.7 kJ/mol of atoms

---

[3]
Ce2DyTl2Ag2 | PBE-GGA | optimized geometry

a b c (Å): 4.7938 4.7938 26.3503
angles (deg): 90.00 90.00 120.00
Space group R-3m (No. 166, hexagonal axes)
Symmetry-distinct sites (fractional):
Ce (0.0000, 0.0000, 0.1430) (multiplicity 6)
Dy (0.0000, 0.0000, 0.0000) (multiplicity 3)
Tl (0.0000, 0.0000, 0.2713) (multiplicity 6)
Ag (0.0000, 0.0000, 0.4259) (multiplicity 6)

## Properties
VASP energy   -3.976 eV/atom
Formation enthalpy at 0 K   -12.8 kJ/mol of atoms

---

Number 1: total moment 0.00 μB per formula unit. Number 2: total moment 0.00 μB per formula unit. Number 3: total moment 1.31 μB per formula unit.